[1]
Entry from Alexandria via LeMat-Bulk: an optimized crystal structure of Cs2AlTeS4 (PBE-GGA).

The structure in extended XYZ format:
```
16
Lattice="0.000 6.470 13.187 3.417 0.000 13.187 3.417 6.470 0.000" Properties=species:S:1:pos:R:3 pbc="T T T"
Cs 2.563 4.852 1.441
Cs 4.271 8.087 8.034
Cs 2.563 4.852 18.339
Cs 4.271 8.087 24.932
Al 0.854 1.617 3.297
Al 5.979 11.322 23.077
Te 2.563 4.852 9.890
Te 4.271 8.087 16.483
S 2.265 2.562 4.791
S 4.569 5.797 11.384
S 2.860 7.143 4.791
S 2.860 2.562 14.989
S 3.973 10.378 11.384
S 3.973 5.797 21.582
S 2.265 7.143 14.989
S 4.569 10.378 21.582
```

space group = Fddd, No. 70
formation energy without anion corrections = -0.78 eV/atom

---

[2]
Entry from Alexandria via LeMat-Bulk: an optimized crystal structure of RbNaTi2Br8 (PBE-GGA).

The structure in extended XYZ format:
```
12
Lattice="7.144 0.000 0.000 -3.572 6.187 0.000 0.000 0.000 10.303" Properties=species:S:1:pos:R:3 pbc="T T T"
Rb 0.000 0.000 0.000
Na 0.000 0.000 5.151
Ti 0.000 4.125 7.773
Ti 3.572 2.062 2.530
Br -1.089 2.059 7.074
Br -1.244 6.101 7.074
Br 1.238 1.973 3.229
Br 0.000 4.125 10.192
Br 3.572 2.062 0.110
Br 2.334 4.214 7.074
Br 4.816 0.086 3.229
Br 4.661 4.128 3.229
```

space group = P-3, No. 147
formation energy without anion corrections = -1.28 eV/atom

---

[3]
Entry from Alexandria via LeMat-Bulk: an optimized crystal structure of SnPS (PBE-GGA).

The structure in extended XYZ format:
```
6
Lattice="6.221 0.000 0.000 0.000 5.288 0.000 -3.096 0.000 4.676" Properties=species:S:1:pos:R:3 pbc="T T T"
Sn 0.000 0.000 0.000
Sn 3.110 2.644 0.000
P -2.604 2.644 4.187
P 0.506 0.000 4.187
S 1.397 0.000 2.283
S 4.507 2.644 2.283
```

space group = Cm, No. 8
ΔE to the lowest computed polymorph = 33 meV per atom
formation energy without anion corrections = 0.01 eV/atom

---

[4]
Entry from Alexandria via LeMat-Bulk: an optimized crystal structure of AcLa10Tb4 (PBE-GGA).

The structure in extended XYZ format:
```
15
Lattice="-6.387 6.387 3.530 6.387 -6.387 3.530 6.387 6.387 -3.530" Properties=species:S:1:pos:R:3 pbc="T T T"
Ac 0.000 0.000 0.000
La 4.762 -2.680 1.818
La 9.067 -1.625 1.712
La 6.387 0.000 1.765
La 3.708 1.625 1.712
La 8.013 2.680 1.818
La -1.625 3.708 1.712
La 2.680 4.762 1.818
La 0.000 6.387 1.765
La -2.680 8.013 1.818
La 1.625 9.067 1.712
Tb 5.521 4.153 0.000
Tb 2.234 -0.866 3.530
Tb 4.153 7.254 0.000
Tb 0.866 2.234 3.530
```

space group = I4/m, No. 87
formation enthalpy at 0 K = 419 meV/atom

---

[5]
Entry from Alexandria via LeMat-Bulk: an optimized crystal structure of CuSe5 (PBE-GGA).

The structure in extended XYZ format:
```
6
Lattice="5.073 0.000 0.000 -2.537 4.394 0.000 0.000 0.000 8.710" Properties=species:S:1:pos:R:3 pbc="T T T"
Cu 0.000 0.000 0.000
Se -1.268 2.197 4.355
Se 0.000 2.929 0.000
Se 2.537 0.000 4.355
Se 1.268 2.197 4.355
Se 2.537 1.465 0.000
```

space group = P6/mmm, No. 191
ΔE to the lowest computed polymorph = 587 meV per atom
formation energy without anion corrections = 0.65 eV/atom

---

[6]
Entry from Alexandria via LeMat-Bulk: an optimized crystal structure of AcSmMoN4 (PBE-GGA).

The structure in extended XYZ format:
```
14
Lattice="5.987 0.000 0.000 0.000 5.999 0.000 -2.249 0.000 6.788" Properties=species:S:1:pos:R:3 pbc="T T T"
Ac 0.368 1.500 2.960
Ac 3.371 4.499 3.828
Sm -0.313 1.500 6.571
Sm 4.052 4.499 0.217
Mo 1.023 4.499 1.228
Mo 2.716 1.500 5.561
N -0.519 4.499 2.294
N -1.786 4.499 6.269
N 2.183 3.048 1.592
N 2.183 5.951 1.592
N 1.555 0.048 5.196
N 1.555 2.951 5.196
N 5.524 1.500 0.519
N 4.258 1.500 4.494
```

space group = P2_1/m, No. 11
formation energy without anion corrections = -1.04 eV/atom

---

[7]
Entry from Alexandria via LeMat-Bulk: an optimized crystal structure of Pr2Ho3Er6Zr (PBE-GGA).

The structure in extended XYZ format:
```
12
Lattice="3.046 -5.269 0.000 3.046 5.269 0.000 -2.019 0.000 11.453" Properties=species:S:1:pos:R:3 pbc="T T T"
Pr 3.046 3.511 0.000
Pr 3.046 -3.511 0.000
Ho -1.010 0.000 5.726
Ho 2.037 1.753 5.726
Ho 2.037 -1.753 5.726
Er 0.028 1.719 8.605
Er 1.066 0.000 2.844
Er 0.028 -1.719 8.605
Er 4.046 1.719 2.848
Er 3.007 0.000 8.609
Er 4.046 -1.719 2.848
Zr 3.046 0.000 0.000
```

space group = C2/m, No. 12
formation enthalpy at 0 K = 56 meV/atom

---

[8]
Entry from Alexandria via LeMat-Bulk: an optimized crystal structure of PrNd4Pt (PBE-GGA).

The structure in extended XYZ format:
```
12
Lattice="-3.109 3.849 8.278 3.109 -3.849 8.278 3.109 3.849 -8.278" Properties=species:S:1:pos:R:3 pbc="T T T"
Pr 0.000 0.000 3.277
Pr 0.000 0.000 13.280
Nd 3.109 1.895 -1.953
Nd 0.000 1.580 0.000
Nd 3.109 0.000 5.438
Nd 3.109 1.895 1.953
Nd 0.000 1.954 6.325
Nd 0.000 3.849 2.840
Nd 0.000 6.117 0.000
Nd 0.000 1.954 10.231
Pt 1.729 3.849 0.000
Pt 1.380 0.000 8.278
```

space group = Immm, No. 71
formation enthalpy at 0 K = -288 meV/atom

---

[9]
Entry from Alexandria via LeMat-Bulk: an optimized crystal structure of TiCrCd3 (PBE-GGA).

The structure in extended XYZ format:
```
5
Lattice="5.318 0.000 0.000 0.000 5.318 0.000 0.000 0.000 5.318" Properties=species:S:1:pos:R:3 pbc="T T T"
Ti 0.000 0.000 0.000
Cr 2.659 2.659 2.659
Cd 0.000 0.000 2.659
Cd 0.000 2.659 0.000
Cd 2.659 0.000 0.000
```

space group = Pm-3m, No. 221
ΔE to the lowest computed polymorph = 0 meV per atom
formation enthalpy at 0 K = 1116 meV/atom

---

[10]
Entry from Alexandria via LeMat-Bulk: an optimized crystal structure of Tl3NiW (PBE-GGA).

The structure in extended XYZ format:
```
5
Lattice="5.051 0.000 0.000 0.000 5.051 0.000 0.000 0.000 5.051" Properties=species:S:1:pos:R:3 pbc="T T T"
Tl 0.000 0.000 2.526
Tl 0.000 2.526 0.000
Tl 2.526 0.000 0.000
Ni 0.000 0.000 0.000
W 2.526 2.526 2.526
```

space group = Pm-3m, No. 221
ΔE to the lowest computed polymorph = 0 meV per atom
formation enthalpy at 0 K = 1240 meV/atom

---

[11]
Entry from Alexandria via LeMat-Bulk: an optimized crystal structure of PmEr5S6 (PBE-GGA).

The structure in extended XYZ format:
```
12
Lattice="3.372 -5.853 0.000 3.372 5.853 0.000 -2.264 0.000 6.338" Properties=species:S:1:pos:R:3 pbc="T T T"
Pm 0.000 0.000 0.000
Er 2.239 3.960 3.169
Er 3.372 1.937 0.000
Er 2.239 0.000 3.169
Er 3.372 -1.937 0.000
Er 2.239 -3.960 3.169
S 1.151 2.011 1.623
S 0.050 0.000 4.736
S 1.151 -2.011 1.623
S 3.328 2.011 4.715
S 4.429 0.000 1.602
S 3.328 -2.011 4.715
```

space group = C2/m, No. 12
formation energy without anion corrections = -1.97 eV/atom

---

[12]
Entry from Alexandria via LeMat-Bulk: an optimized crystal structure of Pr6Sm5Tm2 (PBE-GGA).

The structure in extended XYZ format:
```
26
Lattice="11.797 0.000 0.000 0.000 21.007 0.000 0.000 0.000 3.652" Properties=species:S:1:pos:R:3 pbc="T T T"
Pr 0.739 1.708 0.000
Pr 0.994 7.738 0.000
Pr 2.038 13.425 1.826
Pr 3.861 2.922 1.826
Pr 4.905 18.241 0.000
Pr 5.160 12.211 0.000
Pr 6.638 8.795 0.000
Pr 6.892 2.765 0.000
Pr 7.937 18.085 1.826
Pr 9.759 7.581 1.826
Pr 10.804 13.269 0.000
Pr 11.058 19.299 0.000
Sm 0.000 10.503 1.826
Sm 1.053 4.784 1.826
Sm 2.320 19.836 1.826
Sm 3.578 9.333 1.826
Sm 4.845 15.287 1.826
Sm 5.899 0.000 1.826
Sm 6.952 5.719 1.826
Sm 8.219 11.674 1.826
Sm 9.477 1.170 1.826
Sm 10.744 16.223 1.826
Tm 1.974 16.609 0.000
Tm 3.924 6.105 0.000
Tm 7.873 14.901 0.000
Tm 9.823 4.398 0.000
```

space group = Pbam, No. 55
formation enthalpy at 0 K = 96 meV/atom

---

In the order shown, the computed mass density values come out to 3.13 3.08 3.92 6.49 3.92 7.21 8.45 7.65 4.83 11.02 7.79 7.10 g/cm3.
In the order shown, the computed spin magnetization values come out to 0.0 2.0 0.0 0.0 1.8 0.0 0.0 0.0 2.2 4.1 0.0 0.0 Bohr magnetons per cell.